VASP calculation (GGA-PBE) on a geometry-optimized Rb2HgBi3Pb4 structure. Values from VASP.

Output
SG: P-4m2

Structure (Quantum ESPRESSO input):
```
&SYSTEM
  ibrav = 0, nat = 10, ntyp = 4
/
ATOMIC_SPECIES
Rb 85.47 Rb.upf
Pb 207.20 Pb.upf
Bi 208.98 Bi.upf
Hg 200.59 Hg.upf
ATOMIC_POSITIONS crystal
Rb 0.000 0.500 0.739
Pb 0.500 0.000 0.619
Bi 0.000 0.000 0.500
Hg 0.500 0.500 0.500
Pb 0.500 0.500 0.000
Bi 0.000 0.500 0.138
Rb 0.500 0.000 0.261
Pb 0.000 0.000 0.000
Pb 0.000 0.500 0.381
Bi 0.500 0.000 0.862
CELL_PARAMETERS angstrom
5.533 0.000 0.000
0.000 5.533 0.000
0.000 0.000 13.007
```

***

VASP calculation (GGA-PBE) on a geometry-optimized Li2DyCo9 structure. Values from VASP.

Output
SG: P4/mbm

Structure (Quantum ESPRESSO input):
```
&SYSTEM
  ibrav = 0, nat = 24, ntyp = 3
/
ATOMIC_SPECIES
Co 58.93 Co.upf
Li 6.94 Li.upf
Dy 162.50 Dy.upf
ATOMIC_POSITIONS crystal
Co 0.500 0.500 0.000
Li 0.000 0.615 0.115
Co 0.500 0.211 0.932
Co 0.500 0.568 0.289
Co 0.500 0.711 0.568
Co 0.500 0.000 0.500
Li 0.000 0.115 0.385
Co 0.763 0.680 0.820
Co 0.237 0.180 0.680
Dy 0.000 0.000 0.000
Dy 0.000 0.500 0.500
Co 0.763 0.320 0.180
Co 0.500 0.932 0.789
Co 0.500 0.068 0.211
Co 0.763 0.820 0.320
Li 0.000 0.885 0.615
Li 0.000 0.385 0.885
Co 0.500 0.289 0.432
Co 0.500 0.789 0.068
Co 0.237 0.820 0.320
Co 0.500 0.432 0.711
Co 0.237 0.320 0.180
Co 0.763 0.180 0.680
Co 0.237 0.680 0.820
CELL_PARAMETERS angstrom
-3.672 2.574 -1.659
1.164 -3.055 -7.318
-5.000 -6.023 1.720
```

***

DFT formation energy: -146; -9 (meV/atom)
Fermi-level density of states: 0.377; 1.149 (states/eV/atom)
Final energy: -3.017; -6.041 (eV per atom)